Record 1
Ag3MoOs | GGA-PBE | relaxed Values from VASP.

Cell and atoms, written as Quantum ESPRESSO input:
```
&SYSTEM
  ibrav = 0, nat = 5, ntyp = 3
/
ATOMIC_SPECIES
Ag 107.87 Ag.upf
Os 190.23 Os.upf
Mo 95.94 Mo.upf
ATOMIC_POSITIONS angstrom
Ag 0.5729 -2.0697 1.2763
Os 0.0000 0.0000 0.0000
Ag 1.2186 -0.8903 -1.9908
Ag -2.1042 -1.0791 -0.8054
Mo -0.3128 -4.0392 -1.5199
CELL_PARAMETERS angstrom
-4.2085 -2.1582 -1.6109
2.4372 -1.7807 -3.9816
1.1458 -4.1395 2.5526
```

## Properties
energy	-0.29662	Ry per atom
space group	Pm-3m, No. 221



Record 2
DyMg2Ag2 | GGA-PBE | relaxed Values from VASP.

Cell and atoms, written as Quantum ESPRESSO input:
```
&SYSTEM
  ibrav = 0, nat = 5, ntyp = 3
/
ATOMIC_SPECIES
Ag 107.87 Ag.upf
Mg 24.30 Mg.upf
Dy 162.50 Dy.upf
ATOMIC_POSITIONS angstrom
Ag 1.8945 2.3504 1.1238
Ag 0.2564 0.3181 5.1801
Mg -0.0608 2.2500 3.1520
Dy 0.0000 0.0000 0.0000
Mg 2.2116 0.4184 3.1520
CELL_PARAMETERS angstrom
4.1016 0.4331 -0.2412
-0.4477 4.1000 -0.2412
-1.5030 -1.8647 6.7863
```

## Properties
energy	-0.21233	Ry per atom
space group	C2/m, No. 12



Record 3
RbScIr2 | GGA-PBE | relaxed Values from VASP.

Cell and atoms, written as Quantum ESPRESSO input:
```
&SYSTEM
  ibrav = 0, nat = 4, ntyp = 3
/
ATOMIC_SPECIES
Ir 192.22 Ir.upf
Sc 44.96 Sc.upf
Rb 85.47 Rb.upf
ATOMIC_POSITIONS angstrom
Ir 5.1180 5.1180 5.1180
Ir 1.7060 1.7060 1.7060
Sc 0.0000 0.0000 0.0000
Rb 3.4120 3.4120 3.4120
CELL_PARAMETERS angstrom
0.0000 3.4120 3.4120
3.4120 0.0000 3.4120
3.4120 3.4120 0.0000
```

## Properties
energy	-0.40942	Ry per atom
space group	Fm-3m, No. 225



Record 4
Ac4AsRhSe2 | GGA-PBE | relaxed Values from VASP.

Cell and atoms, written as Quantum ESPRESSO input:
```
&SYSTEM
  ibrav = 0, nat = 8, ntyp = 4
/
ATOMIC_SPECIES
Ac 227.00 Ac.upf
As 74.92 As.upf
Rh 102.91 Rh.upf
Se 78.96 Se.upf
ATOMIC_POSITIONS angstrom
Ac -1.0943 -0.1166 2.9513
Ac -2.8217 -4.0542 2.3224
Ac 2.9039 -2.1533 4.4709
As 0.0000 0.0000 0.0000
Rh -3.7945 -1.1476 2.0839
Ac -0.7880 -3.1932 6.5135
Se 0.0411 -3.1037 3.3966
Se 1.8711 0.9415 3.9842
CELL_PARAMETERS angstrom
-1.9645 2.8976 2.6715
-5.6245 -5.1929 1.4964
5.7068 -1.0146 5.2969
```

## Properties
formation energy without anion corrections	-1460	meV per atom
space group	P2/m, No. 10



Record 5
TcH2Se | GGA-PBE | relaxed Values from VASP.

Cell and atoms, written as Quantum ESPRESSO input:
```
&SYSTEM
  ibrav = 0, nat = 4, ntyp = 3
/
ATOMIC_SPECIES
Se 78.96 Se.upf
H 1.01 H.upf
Tc 98.00 Tc.upf
ATOMIC_POSITIONS angstrom
Se 0.0000 0.0000 0.0000
H 3.6127 -1.2624 5.8726
Tc 2.4084 -0.8416 3.9151
H 1.2042 -0.4208 1.9575
CELL_PARAMETERS angstrom
2.7055 1.3283 2.3396
-0.2730 -0.5869 3.7602
2.3843 -2.4245 1.7305
```

## Properties
energy	-0.30294	Ry per atom
space group	Fm-3m, No. 225



Record 6
KTa2Re | GGA-PBE | relaxed Values from VASP.

Cell and atoms, written as Quantum ESPRESSO input:
```
&SYSTEM
  ibrav = 0, nat = 4, ntyp = 3
/
ATOMIC_SPECIES
Re 186.21 Re.upf
Ta 180.95 Ta.upf
K 39.10 K.upf
ATOMIC_POSITIONS angstrom
Re 6.9192 1.9602 6.2663
Ta 2.3923 0.6777 1.1820
K 4.6432 1.3154 3.8027
Ta 9.2278 2.6143 7.3505
CELL_PARAMETERS angstrom
4.9643 -0.0006 -0.0180
4.2264 2.6043 -0.0180
0.0823 0.0233 7.4766
```

## Properties
energy	-0.61237	Ry per atom
space group	Cm, No. 8



Record 7
SrLi2Al | GGA-PBE | relaxed Values from VASP.

Cell and atoms, written as Quantum ESPRESSO input:
```
&SYSTEM
  ibrav = 0, nat = 4, ntyp = 3
/
ATOMIC_SPECIES
Li 6.94 Li.upf
Sr 87.62 Sr.upf
Al 26.98 Al.upf
ATOMIC_POSITIONS angstrom
Li -2.2695 1.8558 -0.0453
Sr -0.4371 2.6599 3.1423
Al -2.7894 5.0192 3.6918
Li -0.8103 4.9301 5.8243
CELL_PARAMETERS angstrom
-0.6843 2.6853 -2.3682
-3.5596 -0.7694 0.1561
-0.8250 5.0197 5.9300
```

## Properties
energy	-0.16930	Ry per atom
space group	P4mm, No. 99



Record 8
AsSe3 | GGA-PBE | relaxed Values from VASP.

Cell and atoms, written as Quantum ESPRESSO input:
```
&SYSTEM
  ibrav = 0, nat = 4, ntyp = 2
/
ATOMIC_SPECIES
As 74.92 As.upf
Se 78.96 Se.upf
ATOMIC_POSITIONS angstrom
As 0.0000 0.0000 0.0000
Se -0.6728 -2.2225 1.5017
Se -0.3954 -4.4894 7.7099
Se 0.2285 -1.8677 5.1151
CELL_PARAMETERS angstrom
-2.8766 -0.5539 -0.0737
1.3514 -2.4224 -0.9449
0.4571 -3.7355 10.2302
```

## Properties
formation energy without anion corrections	452	meV per atom
space group	Cmmm, No. 65



Record 9
Ca2Ac2Pb | GGA-PBE | relaxed Values from VASP.

Cell and atoms, written as Quantum ESPRESSO input:
```
&SYSTEM
  ibrav = 0, nat = 5, ntyp = 3
/
ATOMIC_SPECIES
Ca 40.08 Ca.upf
Ac 227.00 Ac.upf
Pb 207.20 Pb.upf
ATOMIC_POSITIONS angstrom
Ca 1.3891 -4.8155 -2.2482
Ac 4.3257 -7.0438 -0.6357
Ca 1.0620 -5.3050 0.9498
Ac -1.8745 -3.0767 -0.6626
Pb 0.0000 0.0000 0.0000
CELL_PARAMETERS angstrom
-3.0817 -2.1330 2.6647
-2.4276 -1.1541 -3.7313
7.9605 -6.8334 -0.2317
```

## Properties
energy	-0.22573	Ry per atom
space group	I4/mmm, No. 139



Record 10
LiNdPa2N5 | GGA-PBE | relaxed Values from VASP.

Cell and atoms, written as Quantum ESPRESSO input:
```
&SYSTEM
  ibrav = 0, nat = 18, ntyp = 4
/
ATOMIC_SPECIES
N 14.01 N.upf
Nd 144.24 Nd.upf
Pa 231.04 Pa.upf
Li 6.94 Li.upf
ATOMIC_POSITIONS angstrom
N 0.0000 6.6443 2.8093
N 0.0000 5.2260 0.0188
N 1.7429 2.8995 2.0052
N 0.0000 0.6586 0.8930
Nd 1.7429 4.2307 4.7336
N 0.0000 5.2973 3.3317
Pa 0.0000 1.5660 6.5354
N 1.7429 1.8138 4.9867
Pa 1.7429 5.4739 1.5675
Li 1.7429 0.3042 9.8799
Nd 0.0000 2.8091 9.7015
N 1.7429 1.7425 8.2996
N 1.7429 0.3956 7.7773
Li 0.0000 6.7356 4.9120
Pa 1.7429 5.4926 7.7875
Pa 0.0000 1.5473 2.8196
N 0.0000 4.1403 6.9731
N 1.7429 6.3813 5.8610
CELL_PARAMETERS angstrom
3.4858 0.0000 0.0000
-1.7429 7.0398 0.0000
0.0000 0.0000 9.9358
```

## Properties
formation energy without anion corrections	-1098	meV per atom
space group	Cmc2_1, No. 36



Record 11
BaZnInRh | GGA-PBE | relaxed Values from VASP.

Cell and atoms, written as Quantum ESPRESSO input:
```
&SYSTEM
  ibrav = 0, nat = 4, ntyp = 4
/
ATOMIC_SPECIES
Rh 102.91 Rh.upf
In 114.82 In.upf
Zn 65.41 Zn.upf
Ba 137.33 Ba.upf
ATOMIC_POSITIONS angstrom
Rh -3.0770 -3.1790 -2.8558
In -6.1785 -1.2506 1.4277
Zn -1.9910 -1.5565 -1.1494
Ba -6.2760 -4.6472 -3.2618
CELL_PARAMETERS angstrom
-2.3619 -0.6792 -3.7572
-1.0753 -4.1754 -1.2517
-6.3599 -1.2373 1.5393
```

## Properties
energy	-0.26971	Ry per atom
space group	R3m, No. 160



Record 12
Al2CdSn2 | GGA-PBE | relaxed Values from VASP.

Cell and atoms, written as Quantum ESPRESSO input:
```
&SYSTEM
  ibrav = 0, nat = 5, ntyp = 3
/
ATOMIC_SPECIES
Cd 112.41 Cd.upf
Al 26.98 Al.upf
Sn 118.71 Sn.upf
ATOMIC_POSITIONS angstrom
Cd 0.0000 0.0000 0.0000
Al 4.6857 4.6857 4.6116
Sn 4.6857 2.3428 2.9470
Al 2.3428 2.3428 1.2824
Sn 2.3428 4.6857 2.9470
CELL_PARAMETERS angstrom
4.6857 0.0000 0.0000
0.0000 4.6857 0.0000
2.3428 2.3428 5.8939
```

## Properties
energy	-0.22599	Ry per atom
space group	I4/mmm, No. 139



Record 13
Ce3Pr2NdS6 | GGA-PBE | relaxed Values from VASP.

Cell and atoms, written as Quantum ESPRESSO input:
```
&SYSTEM
  ibrav = 0, nat = 12, ntyp = 4
/
ATOMIC_SPECIES
S 32.06 S.upf
Pr 140.91 Pr.upf
Ce 140.12 Ce.upf
Nd 144.24 Nd.upf
ATOMIC_POSITIONS angstrom
S 2.5283 -0.0750 -1.3798
Pr 0.7245 -3.6880 1.5343
S 3.2664 -3.7763 0.1458
S 1.3161 -0.9788 2.3689
S 6.2717 -1.1917 -0.4386
Ce 3.7939 -1.0852 0.9652
S 4.3214 1.6059 1.7845
Pr 1.9422 -2.7801 -2.2314
Ce 2.5778 -1.9919 4.7260
Nd 0.0000 0.0000 0.0000
S 5.0595 -2.0954 3.3102
Ce 5.0100 -0.1785 -2.7956
CELL_PARAMETERS angstrom
-0.4939 -4.5965 5.3024
3.1607 -1.8717 -5.9995
4.9211 4.2977 2.6274
```

## Properties
formation energy without anion corrections	-2037	meV per atom
space group	C2/m, No. 12



Record 14
ZrTiIr2 | GGA-PBE | relaxed Values from VASP.

Cell and atoms, written as Quantum ESPRESSO input:
```
&SYSTEM
  ibrav = 0, nat = 4, ntyp = 3
/
ATOMIC_SPECIES
Ti 47.87 Ti.upf
Ir 192.22 Ir.upf
Zr 91.22 Zr.upf
ATOMIC_POSITIONS angstrom
Ti -0.3402 -1.8510 -0.9927
Ir 5.5592 -1.1291 0.2003
Zr 3.2146 -2.5730 -0.8646
Ir 1.5503 -0.3149 0.0559
CELL_PARAMETERS angstrom
-0.6030 -2.8112 0.8878
-0.0774 -0.8908 -2.8732
7.1095 -1.4440 0.2562
```

## Properties
energy	-0.69019	Ry per atom
space group	P4/mmm, No. 123



Record 15
HfPtW2 | GGA-PBE | relaxed Values from VASP.

Cell and atoms, written as Quantum ESPRESSO input:
```
&SYSTEM
  ibrav = 0, nat = 8, ntyp = 3
/
ATOMIC_SPECIES
W 183.84 W.upf
Hf 178.49 Hf.upf
Pt 195.08 Pt.upf
ATOMIC_POSITIONS angstrom
W -5.3105 -6.1543 0.5902
W -1.3152 -5.7867 -0.7257
Hf -3.2910 -7.9198 -0.5461
Hf -3.5499 -3.9271 -0.9114
Pt -7.3218 -4.4852 0.3546
W -5.7662 -2.3794 0.1743
Pt 0.0000 0.0000 0.0000
W -8.8338 -10.4895 -0.4217
CELL_PARAMETERS angstrom
-7.5807 -0.4925 -0.0107
0.4809 -7.3617 -1.8121
-3.5130 -4.5506 1.6314
```

## Properties
energy	-0.73523	Ry per atom
space group	I-42d, No. 122



Record 16
LaTaHg3 | GGA-PBE | relaxed Values from VASP.

Cell and atoms, written as Quantum ESPRESSO input:
```
&SYSTEM
  ibrav = 0, nat = 5, ntyp = 3
/
ATOMIC_SPECIES
Hg 200.59 Hg.upf
La 138.91 La.upf
Ta 180.95 Ta.upf
ATOMIC_POSITIONS angstrom
Hg -0.9560 -1.3527 2.0677
La -2.6207 1.7567 3.3322
Hg 0.7038 1.9762 1.6182
Ta 0.0000 0.0000 0.0000
Hg -2.3685 1.1332 -0.3537
CELL_PARAMETERS angstrom
-4.7370 2.2664 -0.7074
-1.9120 -2.7054 4.1355
1.4076 3.9523 3.2364
```

## Properties
energy	-0.23233	Ry per atom
space group	Pm-3m, No. 221



Record 17
RbTaBiI2 | GGA-PBE | relaxed Values from VASP.

Cell and atoms, written as Quantum ESPRESSO input:
```
&SYSTEM
  ibrav = 0, nat = 5, ntyp = 4
/
ATOMIC_SPECIES
Bi 208.98 Bi.upf
I 126.90 I.upf
Rb 85.47 Rb.upf
Ta 180.95 Ta.upf
ATOMIC_POSITIONS angstrom
Bi 0.7867 -0.3113 2.6295
I -2.1591 -1.9134 0.4195
Rb -3.1465 -0.0500 3.8373
I -1.7742 2.1748 0.7883
Ta 0.0000 0.0000 0.0000
CELL_PARAMETERS angstrom
-4.3182 -3.8268 0.8389
1.5735 -0.6227 5.2590
-3.5483 4.3496 1.5766
```

## Properties
formation energy without anion corrections	-81	meV per atom
space group	P4/mmm, No. 123



Record 18
BeCu2 | GGA-PBE | relaxed Values from VASP.

Cell and atoms, written as Quantum ESPRESSO input:
```
&SYSTEM
  ibrav = 0, nat = 3, ntyp = 2
/
ATOMIC_SPECIES
Cu 63.55 Cu.upf
Be 9.01 Be.upf
ATOMIC_POSITIONS angstrom
Cu 0.8100 -1.2121 1.7338
Cu 2.4301 -3.6363 5.2013
Be 0.0000 0.0000 0.0000
CELL_PARAMETERS angstrom
-0.9130 -2.1191 2.8912
2.1414 -2.8652 0.9426
2.0117 0.1359 3.1012
```

## Properties
energy	-0.27450	Ry per atom
space group	Fm-3m, No. 225



Record 19
YIrW2 | GGA-PBE | relaxed Values from VASP.

Cell and atoms, written as Quantum ESPRESSO input:
```
&SYSTEM
  ibrav = 0, nat = 4, ntyp = 3
/
ATOMIC_SPECIES
W 183.84 W.upf
Ir 192.22 Ir.upf
Y 88.91 Y.upf
ATOMIC_POSITIONS angstrom
W 4.6531 -1.3772 2.3482
Ir 2.5352 -3.5525 2.2489
W 2.3822 -0.7051 1.2022
Y 0.1902 -2.8584 1.0655
CELL_PARAMETERS angstrom
-1.3918 -0.6096 2.4004
-0.5730 -4.4130 -1.4529
4.6902 -1.3882 2.3669
```

## Properties
energy	-0.72254	Ry per atom
space group	Pmmm, No. 47



Record 20
SrCa2GeCl8 | GGA-PBE | relaxed Values from VASP.

Cell and atoms, written as Quantum ESPRESSO input:
```
&SYSTEM
  ibrav = 0, nat = 12, ntyp = 4
/
ATOMIC_SPECIES
Cl 35.45 Cl.upf
Ca 40.08 Ca.upf
Ge 72.64 Ge.upf
Sr 87.62 Sr.upf
ATOMIC_POSITIONS angstrom
Cl 4.9476 -6.1303 2.4639
Ca -0.0143 -4.7928 1.5268
Ge 0.0000 0.0000 0.0000
Cl -1.9071 -4.3982 3.5191
Cl 1.1181 -6.9337 2.8755
Ca 3.0548 -5.7357 4.4562
Cl 1.2743 -5.3751 6.5557
Cl 1.9224 -3.5948 3.1075
Cl -1.9284 -6.1410 0.0446
Cl 4.9689 -4.3875 5.9385
Cl 1.7661 -5.1534 -0.5726
Sr 2.9882 -0.9177 2.8521
CELL_PARAMETERS angstrom
-4.4000 -3.3765 3.5237
1.4642 -5.3165 -3.2449
5.9763 -1.8355 5.7042
```

## Properties
formation energy without anion corrections	-1996	meV per atom
space group	P2/m, No. 10



no.,M_tot (Bohr magnetons per cell)
1,5.15
2,0.00
3,0.00
4,0.00
5,0.01
6,0.00
7,0.00
8,0.00
9,0.00
10,0.00
11,0.00
12,0.00
13,2.57
14,0.00
15,0.00
16,0.00
17,0.70
18,0.00
19,0.00
20,0.00